# Sc3S (PBE-GGA, relaxed)
data_Sc3S
_cell_length_a 5.7585
_cell_length_b 5.7585
_cell_length_c 8.2844
_cell_angle_alpha 90.00
_cell_angle_beta 90.00
_cell_angle_gamma 144.42
_symmetry_space_group_name_H-M 'P 1'
_symmetry_Int_Tables_number 1
loop_
_symmetry_equiv_pos_as_xyz
'x,y,z'
loop_
_atom_site_label
_atom_site_type_symbol
_atom_site_fract_x
_atom_site_fract_y
_atom_site_fract_z
Sc1 Sc 0.0711 0.9289 0.7500
Sc2 Sc 0.3602 0.6398 0.5507
Sc3 Sc 0.3602 0.6398 0.9493
Sc4 Sc 0.6398 0.3602 0.0507
Sc5 Sc 0.6398 0.3602 0.4493
Sc6 Sc 0.9289 0.0711 0.2500
S1 S 0.2459 0.7541 0.2500
S2 S 0.7541 0.2459 0.7500
# Formation energy (no corrections): -3.565 eV per formula unit

# Sc5S4 (PBE-GGA, relaxed)
data_Sc5S4
_cell_length_a 7.4393
_cell_length_b 7.4393
_cell_length_c 7.4393
_cell_angle_alpha 93.36
_cell_angle_beta 93.36
_cell_angle_gamma 151.97
_symmetry_space_group_name_H-M 'P 1'
_symmetry_Int_Tables_number 1
loop_
_symmetry_equiv_pos_as_xyz
'x,y,z'
loop_
_atom_site_label
_atom_site_type_symbol
_atom_site_fract_x
_atom_site_fract_y
_atom_site_fract_z
Sc1 Sc 0.0000 0.0000 0.0000
Sc2 Sc 0.2799 0.6098 0.8896
Sc3 Sc 0.3902 0.2799 0.6701
Sc4 Sc 0.6098 0.7201 0.3299
Sc5 Sc 0.7201 0.3902 0.1104
S1 S 0.0817 0.7606 0.8423
S2 S 0.2394 0.0817 0.3212
S3 S 0.7606 0.9183 0.6788
S4 S 0.9183 0.2394 0.1577
# Formation energy (no corrections): -13.794 eV per formula unit

# Sc5S8 (PBE-GGA, relaxed)
data_Sc5S8
_cell_length_a 7.1244
_cell_length_b 7.1244
_cell_length_c 8.7278
_cell_angle_alpha 125.50
_cell_angle_beta 125.50
_cell_angle_gamma 62.93
_symmetry_space_group_name_H-M 'P 1'
_symmetry_Int_Tables_number 1
loop_
_symmetry_equiv_pos_as_xyz
'x,y,z'
loop_
_atom_site_label
_atom_site_type_symbol
_atom_site_fract_x
_atom_site_fract_y
_atom_site_fract_z
Sc1 Sc 0.0000 0.0000 0.0000
Sc2 Sc 0.2596 0.7404 0.5000
Sc3 Sc 0.2748 0.2748 0.0056
Sc4 Sc 0.7252 0.7252 0.9944
Sc5 Sc 0.7404 0.2596 0.5000
S1 S 0.0175 0.0175 0.3143
S2 S 0.0201 0.5540 0.8327
S3 S 0.4460 0.9799 0.1673
S4 S 0.4581 0.4581 0.6603
S5 S 0.5419 0.5419 0.3397
S6 S 0.5540 0.0201 0.8327
S7 S 0.9799 0.4460 0.1673
S8 S 0.9825 0.9825 0.6857
# Formation energy (no corrections): -22.667 eV per formula unit

# Sc6S5 (PBE-GGA, relaxed)
data_Sc6S5
_cell_length_a 6.3153
_cell_length_b 6.3153
_cell_length_c 6.3318
_cell_angle_alpha 99.59
_cell_angle_beta 99.59
_cell_angle_gamma 119.83
_symmetry_space_group_name_H-M 'P 1'
_symmetry_Int_Tables_number 1
loop_
_symmetry_equiv_pos_as_xyz
'x,y,z'
loop_
_atom_site_label
_atom_site_type_symbol
_atom_site_fract_x
_atom_site_fract_y
_atom_site_fract_z
Sc1 Sc 0.0759 0.4169 0.7480
Sc2 Sc 0.2437 0.2437 0.2569
Sc3 Sc 0.4169 0.0759 0.7480
Sc4 Sc 0.5831 0.9241 0.2520
Sc5 Sc 0.7563 0.7563 0.7431
Sc6 Sc 0.9241 0.5831 0.2520
S1 S 0.0000 0.0000 0.5000
S2 S 0.1661 0.8339 0.0000
S3 S 0.3337 0.6663 0.5000
S4 S 0.6663 0.3337 0.5000
S5 S 0.8339 0.1661 0.0000
# Formation energy (no corrections): -18.920 eV per formula unit

# Sc3S4 (PBE-GGA, relaxed)
data_Sc3S4
_cell_length_a 6.3236
_cell_length_b 6.3236
_cell_length_c 3.6853
_cell_angle_alpha 90.00
_cell_angle_beta 90.00
_cell_angle_gamma 108.14
_symmetry_space_group_name_H-M 'P 1'
_symmetry_Int_Tables_number 1
loop_
_symmetry_equiv_pos_as_xyz
'x,y,z'
loop_
_atom_site_label
_atom_site_type_symbol
_atom_site_fract_x
_atom_site_fract_y
_atom_site_fract_z
Sc1 Sc 0.0000 0.0000 0.0000
Sc2 Sc 0.0000 0.5000 0.5000
Sc3 Sc 0.5000 0.0000 0.5000
S1 S 0.2431 0.2431 0.5000
S2 S 0.2541 0.7459 0.0000
S3 S 0.7459 0.2541 0.0000
S4 S 0.7569 0.7569 0.5000
# ΔE to the lowest computed polymorph: 0.000 eV per atom
# Formation energy (no corrections): -13.602 eV per formula unit

# Sc3S2 (PBE-GGA, relaxed)
data_Sc3S2
_cell_length_a 9.0226
_cell_length_b 9.0226
_cell_length_c 9.0226
_cell_angle_alpha 22.96
_cell_angle_beta 22.96
_cell_angle_gamma 22.96
_symmetry_space_group_name_H-M 'P 1'
_symmetry_Int_Tables_number 1
loop_
_symmetry_equiv_pos_as_xyz
'x,y,z'
loop_
_atom_site_label
_atom_site_type_symbol
_atom_site_fract_x
_atom_site_fract_y
_atom_site_fract_z
Sc1 Sc 0.0000 0.0000 0.0000
Sc2 Sc 0.2153 0.2153 0.2153
Sc3 Sc 0.7847 0.7847 0.7847
S1 S 0.3922 0.3922 0.3922
S2 S 0.6078 0.6078 0.6078
# ΔE to the lowest computed polymorph: 0.000 eV per atom
# Formation energy (no corrections): -7.482 eV per formula unit

# Sc3S2 (PBE-GGA, relaxed)
data_Sc3S2
_cell_length_a 6.7074
_cell_length_b 6.3578
_cell_length_c 8.3250
_cell_angle_alpha 52.30
_cell_angle_beta 48.59
_cell_angle_gamma 79.12
_symmetry_space_group_name_H-M 'P 1'
_symmetry_Int_Tables_number 1
loop_
_symmetry_equiv_pos_as_xyz
'x,y,z'
loop_
_atom_site_label
_atom_site_type_symbol
_atom_site_fract_x
_atom_site_fract_y
_atom_site_fract_z
Sc1 Sc 0.0000 0.0000 0.0000
Sc2 Sc 0.2500 0.2500 0.2500
Sc3 Sc 0.3113 0.6680 0.6114
Sc4 Sc 0.6386 0.8406 0.9387
Sc5 Sc 0.6680 0.3113 0.4094
Sc6 Sc 0.8406 0.6386 0.5820
S1 S 0.2181 0.4071 0.4898
S2 S 0.3650 0.7602 0.8429
S3 S 0.4071 0.2181 0.8850
S4 S 0.7602 0.3650 0.0319
# ΔE to the lowest computed polymorph: 0.248 eV per atom
# Formation energy (no corrections): -6.242 eV per formula unit

# Sc4S (PBE-GGA, relaxed)
data_Sc4S
_cell_length_a 4.9078
_cell_length_b 4.9078
_cell_length_c 4.9078
_cell_angle_alpha 90.00
_cell_angle_beta 90.00
_cell_angle_gamma 90.00
_symmetry_space_group_name_H-M 'P 1'
_symmetry_Int_Tables_number 1
loop_
_symmetry_equiv_pos_as_xyz
'x,y,z'
loop_
_atom_site_label
_atom_site_type_symbol
_atom_site_fract_x
_atom_site_fract_y
_atom_site_fract_z
Sc1 Sc 0.0000 0.0000 0.0000
Sc2 Sc 0.0000 0.5000 0.5000
Sc3 Sc 0.5000 0.0000 0.5000
Sc4 Sc 0.5000 0.5000 0.0000
S1 S 0.5000 0.5000 0.5000
# ΔE to the lowest computed polymorph: 0.095 eV per atom
# Formation energy (no corrections): -2.965 eV per formula unit

# ScSeS3 (PBE-GGA, relaxed)
data_ScSeS3
_cell_length_a 4.7197
_cell_length_b 4.7197
_cell_length_c 4.7197
_cell_angle_alpha 90.00
_cell_angle_beta 90.00
_cell_angle_gamma 90.00
_symmetry_space_group_name_H-M 'P 1'
_symmetry_Int_Tables_number 1
loop_
_symmetry_equiv_pos_as_xyz
'x,y,z'
loop_
_atom_site_label
_atom_site_type_symbol
_atom_site_fract_x
_atom_site_fract_y
_atom_site_fract_z
Sc1 Sc 0.0000 0.0000 0.0000
Se1 Se 0.5000 0.5000 0.5000
S1 S 0.0000 0.5000 0.5000
S2 S 0.5000 0.0000 0.5000
S3 S 0.5000 0.5000 0.0000
# ΔE to the lowest computed polymorph: 0.000 eV per atom
# Formation energy (no corrections): -0.061 eV per formula unit

# Sc4Se3S (PBE-GGA, relaxed)
data_Sc4Se3S
_cell_length_a 6.6545
_cell_length_b 6.6545
_cell_length_c 3.8091
_cell_angle_alpha 90.00
_cell_angle_beta 90.00
_cell_angle_gamma 109.32
_symmetry_space_group_name_H-M 'P 1'
_symmetry_Int_Tables_number 1
loop_
_symmetry_equiv_pos_as_xyz
'x,y,z'
loop_
_atom_site_label
_atom_site_type_symbol
_atom_site_fract_x
_atom_site_fract_y
_atom_site_fract_z
Sc1 Sc 0.2253 0.2253 0.5000
Sc2 Sc 0.2346 0.7654 0.0000
Sc3 Sc 0.7654 0.2346 0.0000
Sc4 Sc 0.7747 0.7747 0.5000
Se1 Se 0.0000 0.5000 0.5000
Se2 Se 0.5000 0.0000 0.5000
Se3 Se 0.5000 0.5000 0.0000
S1 S 0.0000 0.0000 0.0000
# ΔE to the lowest computed polymorph: 0.000 eV per atom
# Formation energy (no corrections): -13.394 eV per formula unit

# Sc4Se5S (PBE-GGA, relaxed)
data_Sc4Se5S
_cell_length_a 8.5425
_cell_length_b 8.5425
_cell_length_c 7.7598
_cell_angle_alpha 103.31
_cell_angle_beta 103.31
_cell_angle_gamma 25.81
_symmetry_space_group_name_H-M 'P 1'
_symmetry_Int_Tables_number 1
loop_
_symmetry_equiv_pos_as_xyz
'x,y,z'
loop_
_atom_site_label
_atom_site_type_symbol
_atom_site_fract_x
_atom_site_fract_y
_atom_site_fract_z
Sc1 Sc 0.0029 0.0029 0.2550
Sc2 Sc 0.3291 0.3291 0.9024
Sc3 Sc 0.6709 0.6709 0.0976
Sc4 Sc 0.9971 0.9971 0.7450
Se1 Se 0.1624 0.1624 0.3282
Se2 Se 0.1638 0.1638 0.8424
Se3 Se 0.5000 0.5000 0.5000
Se4 Se 0.8362 0.8362 0.1576
Se5 Se 0.8376 0.8376 0.6718
S1 S 0.5000 0.5000 0.0000
# Formation energy (no corrections): -16.634 eV per formula unit

# Sc2SeS (PBE-GGA, relaxed)
data_Sc2SeS
_cell_length_a 6.5834
_cell_length_b 6.5834
_cell_length_c 6.5834
_cell_angle_alpha 33.32
_cell_angle_beta 33.32
_cell_angle_gamma 33.32
_symmetry_space_group_name_H-M 'P 1'
_symmetry_Int_Tables_number 1
loop_
_symmetry_equiv_pos_as_xyz
'x,y,z'
loop_
_atom_site_label
_atom_site_type_symbol
_atom_site_fract_x
_atom_site_fract_y
_atom_site_fract_z
Sc1 Sc 0.2397 0.2397 0.2397
Sc2 Sc 0.7603 0.7603 0.7603
Se1 Se 0.0000 0.0000 0.0000
S1 S 0.5000 0.5000 0.5000
# ΔE to the lowest computed polymorph: 0.010 eV per atom
# Formation energy (no corrections): -7.016 eV per formula unit

| no. | E_tot (eV/atom) |
| --- | --- |
| 1 | -6.67 |
| 2 | -6.88 |
| 3 | -6.72 |
| 4 | -7.05 |
| 5 | -7.02 |
| 6 | -6.95 |
| 7 | -6.70 |
| 8 | -6.48 |
| 9 | -4.45 |
| 10 | -6.66 |
| 11 | -6.35 |
| 12 | -6.82 |